Compound: Zr2ZnCd
Source: Alexandria
Functional: PBE
Structure: optimized geometry

abc: 4.864 4.864 4.864
angles: 60.00 60.00 60.00
Positions (direct):
Zn1 0.000 0.000 0.000
Zr1 0.250 0.250 0.250
Zr2 0.750 0.750 0.750
Cd1 0.500 0.500 0.500

Values from the calculation:
formation enthalpy at 0 K: -141 meV per atom
E above lowest polymorph: 42 meV per atom

Compound: Sc2CuW
Source: Alexandria
Functional: PBE
Structure: optimized geometry

abc: 4.895 4.897 3.017
angles: 90.00 90.00 90.00
Positions (direct):
Cu1 0.000 0.500 0.500
Sc1 0.000 0.000 0.000
Sc2 0.500 0.500 0.000
W1 0.500 0.000 0.500

Values from the calculation:
formation enthalpy at 0 K: 151 meV per atom
E above lowest polymorph: 85 meV per atom

Compound: LiAl3Cu2
Source: Alexandria
Functional: PBE
Structure: optimized geometry

abc: 3.959 7.196 7.196
angles: 108.55 106.06 106.06
Positions (direct):
Li1 0.250 0.423 0.577
Li2 0.750 0.577 0.423
Al1 0.530 0.867 0.694
Al2 0.030 0.694 0.867
Al3 0.500 0.500 0.000
Al4 0.470 0.133 0.306
Al5 0.000 0.000 0.500
Al6 0.970 0.306 0.133
Cu1 0.250 0.099 0.901
Cu2 0.250 0.730 0.270
Cu3 0.750 0.901 0.099
Cu4 0.750 0.270 0.730

Values from the calculation:
formation enthalpy at 0 K: -151 meV per atom

Compound: Sm4Ho2In
Source: Alexandria
Functional: PBE
Structure: optimized geometry

abc: 5.577 5.577 8.721
angles: 71.35 71.35 60.00
Positions (direct):
Sm1 0.433 0.433 0.702
Sm2 0.288 0.288 0.136
Sm3 0.712 0.712 0.864
Sm4 0.567 0.567 0.298
Ho1 0.140 0.140 0.579
Ho2 0.860 0.860 0.421
In1 0.000 0.000 0.000

Values from the calculation:
formation enthalpy at 0 K: -31 meV per atom
E above lowest polymorph: 63 meV per atom

Compound: AcCuAsI
Source: Alexandria
Functional: PBE
Structure: optimized geometry

abc: 4.408 4.408 15.321
angles: 81.73 81.73 60.00
Positions (direct):
Ac1 0.072 0.072 0.785
Ac2 0.928 0.928 0.215
Cu1 0.689 0.689 0.933
Cu2 0.311 0.311 0.067
As1 0.633 0.633 0.101
As2 0.367 0.367 0.899
I1 0.788 0.788 0.635
I2 0.212 0.212 0.365

Values from the calculation:
formation energy from raw total energies: -967.4 meV/atom

Compound: LaSi2Ru
Source: Alexandria
Functional: PBE
Structure: optimized geometry

abc: 4.681 4.681 4.681
angles: 60.00 60.00 60.00
Positions (direct):
Ru1 0.000 0.000 0.000
Si1 0.250 0.250 0.250
Si2 0.750 0.750 0.750
La1 0.500 0.500 0.500

Values from the calculation:
formation energy from raw total energies: -176.7 meV/atom

Compound: Tl4HgSeBr2
Source: Alexandria
Functional: PBE
Structure: optimized geometry

abc: 4.710 8.405 7.810
angles: 109.19 90.00 90.00
Positions (direct):
Tl1 0.500 0.238 0.236
Tl2 0.500 0.762 0.764
Tl3 0.000 0.216 0.763
Tl4 0.000 0.784 0.237
Hg1 0.500 0.500 0.000
Se1 0.000 0.000 0.000
Br1 0.500 0.000 0.500
Br2 0.000 0.500 0.500

Values from the calculation:
formation energy from raw total energies: -499.7 meV/atom

Compound: OsAuN2
Source: Alexandria
Functional: PBE
Structure: optimized geometry

abc: 3.968 3.968 3.968
angles: 60.00 60.00 60.00
Positions (direct):
Os1 0.000 0.000 0.000
Au1 0.500 0.500 0.500
N1 0.250 0.250 0.250
N2 0.750 0.750 0.750

Values from the calculation:
formation energy from raw total energies: 2020.4 meV/atom
E above lowest polymorph: 1338 meV per atom